(1)
Here is HfSiAu at its PBEsol-relaxed geometry from the Alexandria database. Energies are from SCAN.

* DOS(E_F): 0.96 states/eV/f.u.
* E: -575.576 eV/cell

The structure in POSCAR format:
```
HfSiAu
1.0
9.686 0.000 0.000
0.000 3.925 0.000
-3.917 0.000 5.248
Hf Si Au
4 4 4
direct
0.071 0.000 0.328
0.429 0.500 0.672
0.571 0.500 0.328
0.929 0.000 0.672
0.146 0.500 0.674
0.354 0.000 0.326
0.646 0.000 0.674
0.854 0.500 0.326
0.169 0.500 0.085
0.331 0.000 0.915
0.669 0.000 0.085
0.831 0.500 0.915
```

(2)
Here is HfTa2TeAu at its PBEsol-relaxed geometry from the Alexandria database. Energies are from SCAN.

* DOS(E_F): 3.88 states/eV/f.u.
* E: -294.929 eV/cell

The structure in POSCAR format:
```
HfTa2TeAu
1.0
4.897 0.000 0.000
0.000 4.897 0.000
0.000 0.000 5.226
Hf Ta Te Au
1 2 1 1
direct
0.000 0.000 0.000
0.000 0.500 0.500
0.500 0.000 0.500
0.500 0.500 0.000
0.500 0.500 0.500
```

(3)
Here is HfTcAu3 at its PBEsol-relaxed geometry from the Alexandria database. Energies are from SCAN.

* calculated formation energy: 5.59 eV per formula unit
* DOS(E_F): 3.18 states/eV/f.u.
* E: -299.613 eV/cell

The structure in POSCAR format:
```
HfTcAu3
1.0
5.017 0.000 0.000
0.000 5.017 0.000
0.000 0.000 5.017
Hf Tc Au
1 1 3
direct
0.000 0.000 0.000
0.500 0.500 0.500
0.000 0.000 0.500
0.000 0.500 0.000
0.500 0.000 0.000
```

(4)
Here is YHfTiAu2 at its PBEsol-relaxed geometry from the Alexandria database. Energies are from SCAN.

* calculated formation energy: 0.96 eV per formula unit
* DOS(E_F): 2.58 states/eV/f.u.
* E: -243.904 eV/cell

The structure in POSCAR format:
```
YHfTiAu2
1.0
5.089 0.000 0.000
0.000 5.089 0.000
0.000 0.000 4.632
Y Hf Ti Au
1 1 1 2
direct
0.000 0.000 0.000
0.500 0.500 0.500
0.500 0.500 0.000
0.000 0.500 0.500
0.500 0.000 0.500
```

(5)
Here is HfZr3Au at its PBEsol-relaxed geometry from the Alexandria database. Energies are from SCAN.

* calculated formation energy: 5.06 eV per formula unit
* DOS(E_F): 6.29 states/eV/f.u.
* E: -218.866 eV/cell

The structure in POSCAR format:
```
HfZr3Au
1.0
5.011 0.000 0.000
0.000 5.011 0.000
0.000 0.000 5.011
Hf Zr Au
1 3 1
direct
0.000 0.000 0.000
0.000 0.000 0.500
0.000 0.500 0.000
0.500 0.000 0.000
0.500 0.500 0.500
```

(6)
Here is HfZr2Au2 at its PBEsol-relaxed geometry from the Alexandria database. Energies are from SCAN.

* calculated formation energy: 0.10 eV per formula unit
* DOS(E_F): 8.28 states/eV/f.u.
* E: -524.563 eV/cell

The structure in POSCAR format:
```
HfZr2Au2
1.0
3.762 0.000 0.000
0.000 3.762 0.000
0.000 0.000 15.104
Hf Zr Au
2 4 4
direct
0.000 0.000 0.000
0.500 0.500 0.500
0.000 0.000 0.398
0.000 0.000 0.602
0.500 0.500 0.102
0.500 0.500 0.898
0.000 0.500 0.250
0.000 0.500 0.750
0.500 0.000 0.250
0.500 0.000 0.750
```

(7)
Here is HgAu2 at its PBEsol-relaxed geometry from the Alexandria database. Energies are from SCAN.

* calculated formation energy: 0.31 eV per formula unit
* DOS(E_F): 0.61 states/eV/f.u.
* E: -206.172 eV/cell

The structure in POSCAR format:
```
HgAu2
1.0
3.018 0.000 0.000
-1.509 2.613 0.000
0.000 0.000 6.941
Hg Au
1 2
direct
0.000 0.000 0.000
0.333 0.667 0.661
0.667 0.333 0.339
```

(8)
Here is Hg2Au at its PBEsol-relaxed geometry from the Alexandria database. Energies are from SCAN.

* calculated formation energy: 0.25 eV per formula unit
* DOS(E_F): 0.87 states/eV/f.u.
* E: -615.708 eV/cell

The structure in POSCAR format:
```
Hg2Au
1.0
7.610 0.000 0.000
-3.805 6.591 0.000
0.000 0.000 3.766
Hg Au
6 3
direct
0.000 0.275 0.000
0.000 0.607 0.500
0.275 0.000 0.000
0.393 0.393 0.500
0.607 0.000 0.500
0.725 0.725 0.000
0.000 0.000 0.500
0.333 0.667 0.000
0.667 0.333 0.000
```

(9)
Here is Hg2Au at its PBEsol-relaxed geometry from the Alexandria database. Energies are from SCAN.

* calculated formation energy: 0.24 eV per formula unit
* DOS(E_F): 0.96 states/eV/f.u.
* E: -820.987 eV/cell

The structure in POSCAR format:
```
Hg2Au
1.0
2.867 0.000 0.000
0.000 3.770 0.000
0.000 0.000 23.807
Hg Au
8 4
direct
0.000 0.250 0.048
0.000 0.250 0.196
0.000 0.750 0.804
0.000 0.750 0.952
0.500 0.250 0.304
0.500 0.250 0.452
0.500 0.750 0.548
0.500 0.750 0.696
0.000 0.250 0.623
0.000 0.750 0.377
0.500 0.250 0.877
0.500 0.750 0.123
```

(10)
Here is HgAu3 at its PBEsol-relaxed geometry from the Alexandria database. Energies are from SCAN.

* calculated formation energy: 0.35 eV per formula unit
* DOS(E_F): 1.60 states/eV/f.u.
* E: -275.289 eV/cell

The structure in POSCAR format:
```
HgAu3
1.0
2.981 0.000 0.000
-1.491 2.582 0.000
0.000 0.000 9.308
Hg Au
1 3
direct
0.000 0.000 0.000
0.000 0.000 0.500
0.333 0.667 0.256
0.333 0.667 0.744
```

(11)
Here is HgAu2 at its PBEsol-relaxed geometry from the Alexandria database. Energies are from SCAN.

* calculated formation energy: 0.38 eV per formula unit
* DOS(E_F): 0.79 states/eV/f.u.
* E: -824.402 eV/cell

The structure in POSCAR format:
```
HgAu2
1.0
3.518 0.000 0.000
0.000 3.518 0.000
0.000 0.000 19.316
Hg Au
4 8
direct
0.000 0.250 0.375
0.000 0.750 0.625
0.500 0.250 0.125
0.500 0.750 0.875
0.000 0.250 0.802
0.000 0.250 0.948
0.000 0.750 0.052
0.000 0.750 0.198
0.500 0.250 0.552
0.500 0.250 0.698
0.500 0.750 0.302
0.500 0.750 0.448
```

(12)
Here is Hg2Au at its PBEsol-relaxed geometry from the Alexandria database. Energies are from SCAN.

* calculated formation energy: 0.49 eV per formula unit
* DOS(E_F): 1.15 states/eV/f.u.
* E: -205.002 eV/cell

The structure in POSCAR format:
```
Hg2Au
1.0
4.683 0.000 0.000
-2.342 4.056 0.000
0.000 0.000 3.216
Hg Au
2 1
direct
0.333 0.667 0.291
0.667 0.333 0.709
0.000 0.000 0.000
```